12
Lattice="-2.799 2.799 5.980 2.799 -2.799 5.980 2.799 2.799 -5.980" Properties=species:S:1:pos:R:3 comment="CoPbF4 | Alexandria via LeMat-Bulk | PBE+U | relaxed" final_energy_ev_per_atom=-4.9537 volume_a3_per_fu=93.7 spacegroup=I4_1/a pbc="T T T"
Co 0.000 1.400 1.495
Co 2.799 1.400 4.485
Pb 2.799 1.400 -1.495
Pb 0.000 1.400 7.475
F 1.391 0.463 0.471
F 1.863 2.808 -3.461
F 1.863 0.009 3.461
F 1.408 -0.463 6.451
F 1.391 3.262 -0.471
F 0.936 2.790 2.519
F 0.936 -0.009 9.441
F 1.408 2.336 5.510